#w
Li2EuHg (PBE, optimized geometry); spin magnetization = 1.933 μB/atom
1.0
0.0000 3.5703 3.5703
3.5703 0.0000 3.5703
3.5703 3.5703 0.0000
Li Eu Hg
2 1 1
Cartesian
1.7851 1.7851 1.7851
5.3554 5.3554 5.3554
0.0000 0.0000 0.0000
3.5703 3.5703 3.5703

#x
Li2EuHg (PBE, optimized geometry); spin magnetization = 1.863 μB/atom
1.0
3.6509 0.0000 0.0000
0.0000 3.6509 0.0000
0.0000 0.0000 7.2741
Li Eu Hg
2 1 1
Cartesian
0.0000 0.0000 1.3236
0.0000 0.0000 5.9504
1.8254 1.8254 3.6370
1.8254 1.8254 0.0000

It is #w that is most stable; the runner-up trails by 0.009 eV/atom.